1.
First-principles (PBE) data for BaCoRh after structural relaxation, as listed in Alexandria.

Computed properties:
Energy ... -5.1580 eV/atom
ΔE_f ... 302 meV/atom

a b c (Å): 6.051 6.051 6.051
angles (deg): 146.49 146.86 47.85
Last column: magnetic moment on the atom in μB.
Element x y z (fractional)
Rh 0.726 0.726 0.000  0.43
Ba 0.001 0.001 0.000  -0.07
Co 0.273 0.273 0.000  1.71


2.
First-principles (PBE) data for Pt2Au after structural relaxation, as listed in Alexandria.

Computed properties:
Energy ... -5.0510 eV/atom
ΔE_f ... 69 meV/atom

a b c (Å): 2.822 4.066 4.956
angles (deg): 114.22 106.54 90.00
Element x y z (fractional)
Au 0.000 0.000 0.000
Pt 0.669 0.669 0.338
Pt 0.331 0.331 0.662


3.
First-principles (PBE) data for PmFePt4 after structural relaxation, as listed in Alexandria.

Computed properties:
Energy ... -6.7304 eV/atom
ΔE_f ... -501 meV/atom

a b c (Å): 5.363 5.363 5.363
angles (deg): 60.00 60.00 60.00
Last column: magnetic moment on the atom in μB.
Element x y z (fractional)
Pm 0.250 0.250 0.250  -0.01
Pt 0.626 0.626 0.626  0.15
Pt 0.626 0.626 0.123  0.15
Pt 0.626 0.123 0.626  0.15
Pt 0.123 0.626 0.626  0.15
Fe 0.000 0.000 0.000  3.30